Record 1
First-principles (PBE) data for a geometry-optimized Ac2MgGaHg6 structure, as listed in Alexandria via LeMat-Bulk.

Structure (POSCAR):
```
Ac2MgGaHg6
1.0
-6.238 3.714 -2.618
0.460 -0.423 -7.460
-4.096 -3.365 -2.585
Hg Ga Mg Ac
6 1 1 2
Cartesian
-6.878 1.105 -8.469
-5.499 -1.603 -10.048
-4.557 2.523 -7.312
-2.996 -1.179 -4.194
-4.375 1.529 -2.614
-5.317 -2.597 -5.351
0.000 0.000 0.000
-2.889 1.645 -5.039
-6.729 1.080 -5.013
-3.145 -1.154 -7.649
```

## Properties
As for the density: 10.529 g cm⁻³. The space group is No. 2. For the formation energy, the calculation gives -0.27 eV/atom. As for the density of states at the Fermi level: 5.7 states/eV/f.u. As for the energy: -1.740 eV per atom.


Record 2
First-principles (PBE) data for a geometry-optimized YCr2Co structure, as listed in Alexandria via LeMat-Bulk.

Structure (POSCAR):
```
YCr2Co
1.0
8.337 0.004 0.002
7.804 2.933 0.002
7.804 1.420 2.566
Cr Y Co
2 1 1
Cartesian
23.892 4.347 2.565
6.420 1.168 0.689
11.909 2.167 1.278
17.645 3.210 1.894
```

## Properties
As for the density: 6.680 g cm⁻³. The space group is No. 160. The value obtained for the energy above the most stable polymorph in this dataset is 324 meV per atom. For the formation energy, the calculation gives 0.64 eV/atom. As for the density of states at the Fermi level: 5.0 states/eV/f.u. As for the energy: -7.569 eV per atom.


Record 3
First-principles (PBE) data for a geometry-optimized Zn2CuRh9 structure, as listed in Alexandria via LeMat-Bulk.

Structure (POSCAR):
```
Zn2CuRh9
1.0
3.833 0.000 0.000
0.000 3.833 0.000
0.000 0.000 11.496
Cu Rh Zn
1 9 2
Cartesian
0.000 0.000 0.000
0.000 1.917 1.892
1.917 0.000 9.604
1.917 1.917 3.816
1.917 1.917 0.000
0.000 1.917 5.748
0.000 1.917 9.604
1.917 0.000 5.748
1.917 0.000 1.892
1.917 1.917 7.679
0.000 0.000 7.677
0.000 0.000 3.819
```

## Properties
As for the density: 11.016 g cm⁻³. The space group is No. 123. For the formation energy, the calculation gives -0.04 eV/atom. As for the density of states at the Fermi level: 19.1 states/eV/f.u. As for the energy: -6.111 eV per atom.


Record 4
First-principles (PBE) data for a geometry-optimized Pr3In5O12 structure, as listed in Alexandria via LeMat-Bulk.

Structure (POSCAR):
```
Pr3In5O12
1.0
-3.534 -10.157 -4.407
5.005 -1.793 10.335
-9.146 7.053 1.296
O Pr In
48 12 20
Cartesian
-3.681 2.026 1.996
-4.181 -8.406 -0.028
-6.236 -0.299 0.256
-3.967 -4.960 -2.108
-8.582 0.367 2.180
1.867 -2.771 6.140
-8.534 -5.045 -2.287
-1.020 -1.784 7.253
-10.768 -3.235 -2.020
-6.707 3.103 1.013
-1.439 -4.598 6.968
-2.757 -4.188 4.432
-5.658 0.036 7.241
-5.865 -6.107 -0.259
0.859 0.148 9.511
-3.494 3.510 7.252
-5.641 4.712 5.133
-8.477 -3.485 3.362
-9.543 -2.126 1.084
-4.240 -1.922 -0.992
-3.995 -6.923 5.229
3.093 -1.661 9.244
-6.488 2.148 4.110
-7.651 -0.975 4.526
-2.215 -7.192 -1.758
-0.969 -8.000 6.212
-6.319 -5.234 5.519
-3.870 -6.218 1.786
-2.034 -9.609 2.092
-3.708 0.063 9.332
0.907 -5.264 5.045
-1.810 1.211 7.483
-8.962 4.859 1.421
1.287 -9.756 5.803
-5.472 -3.506 2.576
-4.663 -2.443 5.657
-1.187 -7.045 3.115
-0.024 -3.922 2.698
0.801 -1.411 3.862
-2.017 -4.933 -0.017
-5.461 2.295 8.983
-3.012 -2.454 1.567
-1.357 0.337 1.706
-6.655 -3.112 -0.029
-2.203 -1.391 4.649
-3.805 1.322 5.438
-3.435 -2.975 8.216
-4.918 -0.709 2.792
-3.688 -0.118 0.676
-0.482 -9.350 4.057
-0.484 -3.166 5.131
-3.988 -4.778 6.548
-5.758 2.512 6.492
-2.922 2.452 9.464
-7.193 4.454 3.167
-1.917 -7.409 0.733
-7.192 -1.731 2.093
-4.387 -4.152 0.315
-4.753 -7.348 -2.240
-3.288 -0.745 6.909
0.735 -5.975 2.964
-1.217 -3.375 1.093
-3.838 -2.448 3.612
-2.952 -6.093 3.640
-6.458 -1.521 6.131
-7.559 1.257 0.611
-7.558 -4.928 -0.462
-0.118 0.031 7.687
-0.851 -0.179 3.649
-10.028 -1.671 -0.879
-6.340 -1.552 -1.555
-6.824 -4.718 3.575
-2.071 2.630 5.816
-0.116 -6.154 6.613
2.503 -0.896 5.168
-4.573 3.527 0.648
2.353 -3.226 8.104
-4.723 1.197 3.584
-1.767 -5.079 -2.203
0.000 0.000 0.000
```

## Properties
As for the density: 6.534 g cm⁻³. The space group is No. 230. As for the density of states at the Fermi level: 0.0 states/eV/f.u. As for the energy: -6.581 eV per atom.


Record 5
First-principles (PBE) data for a geometry-optimized BaMgAlHg2 structure, as listed in Alexandria via LeMat-Bulk.

Structure (POSCAR):
```
BaMgAlHg2
1.0
-3.396 0.768 3.129
-3.216 -0.531 -3.360
3.046 -6.224 1.330
Al Ba Hg Mg
1 1 2 1
Cartesian
-1.828 -2.669 2.172
0.000 0.000 0.000
-3.370 -1.389 0.185
-0.196 -4.599 0.915
-1.738 -3.319 -1.072
```

## Properties
As for the density: 7.173 g cm⁻³. The space group is No. 119. For the formation energy, the calculation gives -0.34 eV/atom. As for the density of states at the Fermi level: 3.3 states/eV/f.u. As for the energy: -1.912 eV per atom.


Record 6
First-principles (PBE) data for a geometry-optimized Na2IrN structure, as listed in Alexandria via LeMat-Bulk.

Structure (POSCAR):
```
Na2IrN
1.0
-2.398 2.417 3.358
-2.381 -2.569 -3.257
0.142 -2.978 2.245
Ir Na N
1 2 1
Cartesian
0.071 -1.489 1.123
-2.360 -1.454 -0.639
-2.276 -1.675 2.986
0.000 0.000 0.000
```

## Properties
As for the density: 5.665 g cm⁻³. The space group is No. 164. The value obtained for the energy above the most stable polymorph in this dataset is 0 meV per atom. As for the density of states at the Fermi level: 0.6 states/eV/f.u. As for the energy: -5.080 eV per atom.


Record 7
First-principles (PBE) data for a geometry-optimized PaGeH structure, as listed in Alexandria via LeMat-Bulk.

Structure (POSCAR):
```
PaGeH
1.0
-1.511 1.915 -3.323
-3.053 -1.728 -2.165
-3.783 1.635 0.105
Pa H Ge
1 1 1
Cartesian
-5.185 1.132 -3.344
-3.098 0.676 -1.998
-1.011 0.221 -0.652
```

## Properties
As for the density: 10.213 g cm⁻³. The space group is No. 216. The value obtained for the energy above the most stable polymorph in this dataset is 149 meV per atom. As for the density of states at the Fermi level: 0.4 states/eV/f.u. As for the energy: -6.170 eV per atom.


Record 8
First-principles (PBE) data for a geometry-optimized H3IrS structure, as listed in Alexandria via LeMat-Bulk.

Structure (POSCAR):
```
H3IrS
1.0
3.545 0.000 0.000
0.000 3.545 0.000
0.000 0.000 3.545
Ir S H
1 1 3
Cartesian
0.000 0.000 0.000
1.773 1.773 1.773
0.000 1.773 0.000
0.000 0.000 1.773
1.773 0.000 0.000
```

## Properties
As for the density: 8.472 g cm⁻³. The space group is No. 221. The value obtained for the energy above the most stable polymorph in this dataset is 0 meV per atom. As for the density of states at the Fermi level: 3.0 states/eV/f.u. As for the energy: -3.856 eV per atom.


Record 9
First-principles (PBE) data for a geometry-optimized PrPu6Te8 structure, as listed in Alexandria via LeMat-Bulk.

Structure (POSCAR):
```
PrPu6Te8
1.0
-1.320 1.203 8.693
-4.893 -5.809 4.591
3.881 -5.410 5.868
Pu Te Pr
6 8 1
Cartesian
1.940 -2.705 2.934
-0.660 0.601 4.347
1.280 -2.104 7.281
-0.506 -5.610 5.230
-2.446 -2.905 2.296
-3.106 -2.303 6.642
-0.583 -2.504 4.788
-2.981 -5.398 7.148
0.649 -4.618 12.004
1.292 -5.204 7.770
-1.241 -1.983 9.146
-1.091 -8.034 10.006
-1.749 -7.512 14.365
-3.624 -4.813 11.383
0.000 0.000 0.000
```

## Properties
As for the density: 8.821 g cm⁻³. The space group is No. 225. As for the density of states at the Fermi level: 69.1 states/eV/f.u. As for the energy: -8.876 eV per atom.


Record 10
First-principles (PBE) data for a geometry-optimized Li2YPd structure, as listed in Alexandria via LeMat-Bulk.

Structure (POSCAR):
```
Li2YPd
1.0
0.000 3.295 3.295
3.295 0.000 3.295
3.295 3.295 0.000
Pd Li Y
1 2 1
Cartesian
3.295 3.295 3.295
4.942 4.942 4.942
1.647 1.647 1.647
0.000 0.000 0.000
```

## Properties
As for the density: 4.858 g cm⁻³. The space group is No. 225. The value obtained for the energy above the most stable polymorph in this dataset is 83 meV per atom. For the formation energy, the calculation gives -0.19 eV/atom. As for the density of states at the Fermi level: 4.4 states/eV/f.u. As for the energy: -4.066 eV per atom.


Record 11
First-principles (PBE) data for a geometry-optimized K3GeTe structure, as listed in Alexandria via LeMat-Bulk.

Structure (POSCAR):
```
K3GeTe
1.0
-4.793 4.581 0.295
-1.350 -1.814 6.240
4.388 4.446 2.242
Te K Ge
1 3 1
Cartesian
0.000 0.000 0.000
2.194 2.223 1.121
-0.675 -0.907 3.120
-2.397 2.291 0.148
-0.877 3.607 4.389
```

## Properties
As for the density: 1.804 g cm⁻³. The space group is No. 221. The value obtained for the energy above the most stable polymorph in this dataset is 0 meV per atom. As for the density of states at the Fermi level: 0.0 states/eV/f.u. As for the energy: -2.378 eV per atom.


Record 12
First-principles (PBE) data for a geometry-optimized Mo2AsBr structure, as listed in Alexandria via LeMat-Bulk.

Structure (POSCAR):
```
Mo2AsBr
1.0
0.000 3.172 3.172
3.172 0.000 3.172
3.172 3.172 0.000
Mo As Br
2 1 1
Cartesian
4.758 4.758 4.758
1.586 1.586 1.586
0.000 0.000 0.000
3.172 3.172 3.172
```

## Properties
As for the density: 9.022 g cm⁻³. The space group is No. 225. The value obtained for the energy above the most stable polymorph in this dataset is 375 meV per atom. As for the density of states at the Fermi level: 4.6 states/eV/f.u. As for the energy: -6.488 eV per atom.


Record 13
First-principles (PBE) data for a geometry-optimized GaSb3 structure, as listed in Alexandria via LeMat-Bulk.

Structure (POSCAR):
```
GaSb3
1.0
4.287 0.000 0.000
0.000 4.287 0.000
-2.143 -2.143 5.961
Sb Ga
3 1
Cartesian
2.143 2.143 3.059
0.000 0.000 2.901
2.143 2.143 0.000
0.000 0.000 0.000
```

## Properties
As for the density: 6.594 g cm⁻³. The space group is No. 139. The value obtained for the energy above the most stable polymorph in this dataset is 0 meV per atom. As for the density of states at the Fermi level: 2.1 states/eV/f.u. As for the energy: -3.779 eV per atom.


Record 14
First-principles (PBE) data for a geometry-optimized Ba3TeI2 structure, as listed in Alexandria via LeMat-Bulk.

Structure (POSCAR):
```
Ba3TeI2
1.0
3.146 6.878 4.179
0.174 -1.645 8.477
8.472 0.694 1.416
I Ba Te
4 6 2
Cartesian
1.660 2.617 6.328
5.487 5.158 8.197
0.000 0.000 0.000
6.303 0.768 5.874
2.443 3.787 9.579
0.876 1.447 3.077
3.279 -0.476 7.295
8.512 6.403 6.777
4.759 3.831 4.900
7.031 2.096 9.172
3.885 2.519 1.864
7.733 5.053 3.731
```

## Properties
As for the density: 5.017 g cm⁻³. The space group is No. 12. As for the density of states at the Fermi level: 3.7 states/eV/f.u. As for the energy: -3.481 eV per atom.


Record 15
First-principles (PBE) data for a geometry-optimized MnAuSe2 structure, as listed in Alexandria via LeMat-Bulk.

Structure (POSCAR):
```
MnAuSe2
1.0
5.580 0.038 0.194
0.855 5.514 0.194
2.016 1.739 3.525
Mn Au Se
1 1 2
Cartesian
1.435 3.627 1.859
3.798 0.889 1.859
3.217 2.776 0.194
0.000 0.000 0.000
```

## Properties
As for the density: 6.506 g cm⁻³. The space group is No. 12. As for the density of states at the Fermi level: 1.0 states/eV/f.u. As for the energy: -4.804 eV per atom.


Record 16
First-principles (PBE) data for a geometry-optimized PuHfGa structure, as listed in Alexandria via LeMat-Bulk.

Structure (POSCAR):
```
PuHfGa
1.0
-1.192 -0.233 -2.846
-1.186 -2.766 0.723
-4.467 4.479 3.188
Hf Ga Pu
1 1 1
Cartesian
-3.595 1.894 1.351
-3.155 -0.463 -0.323
-0.094 0.050 0.035
```

## Properties
As for the density: 12.668 g cm⁻³. The space group is No. 107. The value obtained for the energy above the most stable polymorph in this dataset is 0 meV per atom. For the formation energy, the calculation gives -0.15 eV/atom. As for the density of states at the Fermi level: 5.7 states/eV/f.u. As for the energy: -9.257 eV per atom.


Record 17
First-principles (PBE) data for a geometry-optimized Sr2MgAs structure, as listed in Alexandria via LeMat-Bulk.

Structure (POSCAR):
```
Sr2MgAs
1.0
2.884 -0.218 4.825
-2.364 -2.230 4.592
1.810 -4.947 1.974
As Sr Mg
1 2 1
Cartesian
1.165 -3.698 5.695
1.747 -5.546 8.543
0.582 -1.849 2.848
0.000 0.000 0.000
```

## Properties
As for the density: 3.621 g cm⁻³. The space group is No. 225. The value obtained for the energy above the most stable polymorph in this dataset is 198 meV per atom. For the formation energy, the calculation gives -0.43 eV/atom. As for the density of states at the Fermi level: 3.5 states/eV/f.u. As for the energy: -2.831 eV per atom.


Record 18
First-principles (PBE) data for a geometry-optimized MgIn3P structure, as listed in Alexandria via LeMat-Bulk.

Structure (POSCAR):
```
MgIn3P
1.0
5.263 0.000 0.000
0.000 5.263 0.000
0.000 0.000 5.263
Mg In P
1 3 1
Cartesian
2.632 2.632 2.632
2.632 0.000 0.000
0.000 0.000 2.632
0.000 2.632 0.000
0.000 0.000 0.000
```

## Properties
As for the density: 4.553 g cm⁻³. The space group is No. 221. The value obtained for the energy above the most stable polymorph in this dataset is 0 meV per atom. For the formation energy, the calculation gives 0.31 eV/atom. As for the density of states at the Fermi level: 2.1 states/eV/f.u. As for the energy: -2.730 eV per atom.


Record 19
First-principles (PBE) data for a geometry-optimized PaTaTc structure, as listed in Alexandria via LeMat-Bulk.

Structure (POSCAR):
```
PaTaTc
1.0
3.123 0.000 0.000
0.000 3.123 0.000
-1.562 -1.562 12.452
Ta Tc Pa
2 2 2
Cartesian
0.000 0.000 11.049
1.562 1.562 1.404
1.562 1.562 9.534
0.000 0.000 2.919
0.000 0.000 7.545
1.562 1.562 4.907
```

## Properties
As for the density: 13.944 g cm⁻³. The space group is No. 139. The value obtained for the energy above the most stable polymorph in this dataset is 247 meV per atom. For the formation energy, the calculation gives 0.18 eV/atom. As for the density of states at the Fermi level: 4.7 states/eV/f.u. As for the energy: -10.394 eV per atom.


Record 20
First-principles (PBE) data for a geometry-optimized LaFe2Te structure, as listed in Alexandria via LeMat-Bulk.

Structure (POSCAR):
```
LaFe2Te
1.0
-0.808 3.606 -2.944
1.095 -2.757 -3.678
-8.155 -1.979 -3.979
Fe Te La
4 2 2
Cartesian
-2.205 0.514 -2.559
-5.736 -1.854 -6.385
-1.657 -0.866 -4.396
-6.139 -0.053 -7.859
0.143 0.425 -3.311
-3.459 -2.156 -5.483
0.000 0.000 0.000
-4.410 1.026 -5.116
```

## Properties
As for the density: 6.493 g cm⁻³. The space group is No. 141. As for the density of states at the Fermi level: 6.4 states/eV/f.u. As for the energy: -6.154 eV per atom.


Record 21
First-principles (PBE) data for a geometry-optimized ReRhO4 structure, as listed in Alexandria via LeMat-Bulk.

Structure (POSCAR):
```
ReRhO4
1.0
5.588 0.107 0.000
-2.158 5.156 0.000
-1.715 -2.632 4.623
O Rh Re
8 2 2
Cartesian
-0.697 0.525 3.753
2.476 2.206 0.870
-0.318 2.152 1.441
-1.776 3.102 3.182
1.996 0.505 3.227
-1.423 4.608 0.915
0.917 3.083 3.708
3.530 -0.494 1.396
0.863 1.324 0.000
-1.932 1.270 2.312
2.566 3.937 0.000
-0.229 3.883 2.312
```

## Properties
As for the density: 8.733 g cm⁻³. The space group is No. 109. As for the density of states at the Fermi level: 3.1 states/eV/f.u. As for the energy: -7.726 eV per atom.


Record 22
First-principles (PBE) data for a geometry-optimized ZrTaSi structure, as listed in Alexandria via LeMat-Bulk.

Structure (POSCAR):
```
ZrTaSi
1.0
2.716 -4.564 0.000
2.716 4.564 0.000
0.000 0.000 8.805
Ta Zr Si
4 4 4
Cartesian
2.716 3.052 0.000
2.716 -3.104 4.402
1.384 0.801 0.000
4.047 0.801 0.000
2.716 -1.518 7.073
2.716 -1.518 1.732
2.716 1.539 6.004
2.716 1.539 2.801
2.716 -4.532 6.614
1.441 -0.828 4.402
3.991 -0.828 4.402
2.716 -4.532 2.190
```

## Properties
As for the density: 9.138 g cm⁻³. The space group is No. 38. As for the density of states at the Fermi level: 2.3 states/eV/f.u. As for the energy: -8.967 eV per atom.